Record 1
The following is a PBE-GGA calculation of an optimized crystal structure of NpCuPd14, from Alexandria.

Unit cell a=5.700 b=5.700 c=7.796 alpha=90.00 beta=90.00 gamma=90.00
Space group P4/mmm (No. 123)
Inequivalent atoms, fractional coordinates:
1 Np 0.000 0.000 0.000
2 Cu 0.500 0.500 0.000
3 Pd 0.000 0.000 0.500
4 Pd 0.000 0.500 0.000
5 Pd 0.000 0.500 0.500
6 Pd 0.252 0.252 0.247
7 Pd 0.500 0.500 0.500


Record 2
The following is a PBE-GGA calculation of an optimized crystal structure of YThPb2, from Alexandria.

Summary:
relative energy among the computed polymorphs	27	meV per atom

Unit cell a=5.080 b=5.080 c=4.541 alpha=90.00 beta=90.00 gamma=90.00
Space group P4/mmm (No. 123)
Inequivalent atoms, fractional coordinates:
1 Y 0.000 0.000 0.000
2 Th 0.500 0.500 0.000
3 Pb 0.000 0.500 0.500


Record 3
The following is a PBE-GGA calculation of an optimized crystal structure of Mg2BeB2Ru5, from Alexandria.

Unit cell a=9.122 b=9.122 c=2.935 alpha=90.00 beta=90.00 gamma=90.00
Space group P4/mbm (No. 127)
Inequivalent atoms, fractional coordinates:
1 Mg 0.174 0.326 0.000
2 Be 0.000 0.000 0.000
3 B 0.129 0.629 0.000
4 Ru 0.000 0.500 0.500
5 Ru 0.066 0.799 0.500


Record 4
The following is a PBE-GGA calculation of an optimized crystal structure of Al2ZnOs, from Alexandria.

Unit cell a=3.306 b=3.306 c=5.329 alpha=90.00 beta=90.00 gamma=90.00
Space group P4mm (No. 99)
Inequivalent atoms, fractional coordinates:
1 Al 0.000 0.000 0.000
2 Al 0.500 0.500 0.282
3 Zn 0.500 0.500 0.768
4 Os 0.000 0.000 0.495


Record 5
The following is a PBE-GGA calculation of an optimized crystal structure of MgCuGe2Rh, from Alexandria.

Unit cell a=4.691 b=4.691 c=4.889 alpha=90.00 beta=90.00 gamma=90.00
Space group P4/mmm (No. 123)
Inequivalent atoms, fractional coordinates:
1 Mg 0.000 0.000 0.000
2 Cu 0.500 0.500 0.000
3 Ge 0.000 0.500 0.500
4 Rh 0.500 0.500 0.500


Record 6
The following is a PBE-GGA calculation of an optimized crystal structure of CePmGeRh, from Alexandria.

Summary:
relative energy among the computed polymorphs	140	meV per atom

Unit cell a=4.552 b=4.552 c=10.177 alpha=90.00 beta=90.00 gamma=90.00
Space group P4/nmm (No. 129, origin choice 2)
Inequivalent atoms, fractional coordinates:
1 Ce 0.250 0.750 0.000
2 Pm 0.250 0.250 0.337
3 Ge 0.250 0.250 0.617
4 Rh 0.250 0.250 0.851


Record 7
The following is a PBE-GGA calculation of an optimized crystal structure of KBa2La, from Alexandria.

Summary:
relative energy among the computed polymorphs	185	meV per atom

Unit cell a=5.865 b=5.865 c=12.930 alpha=90.00 beta=90.00 gamma=90.00
Space group I-4m2 (No. 119)
Inequivalent atoms, fractional coordinates:
1 K 0.000 0.000 0.000
2 Ba 0.000 0.000 0.500
3 Ba 0.000 0.500 0.250
4 La 0.000 0.500 0.750


Record 8
The following is a PBE-GGA calculation of an optimized crystal structure of Sm3Y6HoSc2, from Alexandria.

Unit cell a=6.131 b=10.615 c=11.671 alpha=90.00 beta=100.07 gamma=90.00
Space group C2/m (No. 12)
Inequivalent atoms, fractional coordinates:
1 Sm 0.000 0.000 0.000
2 Sm 0.000 0.333 0.000
3 Y 0.245 0.000 0.742
4 Y 0.249 0.332 0.742
5 Ho 0.000 0.500 0.500
6 Sc 0.000 0.167 0.500


Number 1: calculated formation energy -143 meV/atom, spin magnetization 1.5 μB/cell. Number 2: calculated formation energy -353 meV/atom, spin magnetization 0.0 μB/cell. Number 3: calculated formation energy -211 meV/atom, spin magnetization 0.0 μB/cell. Number 4: calculated formation energy -192 meV/atom, spin magnetization 0.0 μB/cell. Number 5: calculated formation energy 201 meV/atom, spin magnetization 0.0 μB/cell. Number 6: calculated formation energy -452 meV/atom, spin magnetization 0.4 μB/cell. Number 7: calculated formation energy 339 meV/atom, spin magnetization 1.6 μB/cell. Number 8: calculated formation energy 42 meV/atom, spin magnetization 0.0 μB/cell.